(1)
Crystalline AsP2 at its relaxed geometry, computed with GGA-PBE.

Cell lengths 3.201, 3.298, 21.052 Å; angles 90.00, 90.00, 90.00 degrees
Atoms (fractional coordinates):
As  0.000  0.250  0.151
As  0.000  0.750  0.849
As  0.500  0.250  0.349
As  0.500  0.750  0.651
P  0.000  0.250  0.533
P  0.000  0.250  0.705
P  0.000  0.750  0.295
P  0.000  0.750  0.467
P  0.500  0.250  0.795
P  0.500  0.250  0.967
P  0.500  0.750  0.033
P  0.500  0.750  0.205

Computed properties:
The formation enthalpy at 0 K comes out at 115 kJ/mol of formula units. The energy above the most stable polymorph in this dataset comes out at 286.7 meV/atom.


(2)
Crystalline CsCdPb at its relaxed geometry, computed with GGA-PBE.

Cell lengths 5.516, 5.516, 4.641 Å; angles 90.00, 90.00, 120.00 degrees
Atoms (fractional coordinates):
Cs  0.000  0.000  0.000
Cd  0.333  0.667  0.500
Pb  0.667  0.333  0.500

Computed properties:
The formation enthalpy at 0 K comes out at -10 kJ/mol of formula units. The energy above the most stable polymorph in this dataset comes out at 62.2 meV/atom.


(3)
Crystalline RbTiS2 at its relaxed geometry, computed with GGA-PBE.

Cell lengths 16.885, 3.999, 7.505 Å; angles 90.00, 116.35, 90.00 degrees
Atoms (fractional coordinates):
Rb  0.138  0.000  0.137
Rb  0.362  0.500  0.863
Rb  0.638  0.500  0.137
Rb  0.862  0.000  0.863
Ti  0.089  0.500  0.589
Ti  0.411  0.000  0.411
Ti  0.589  0.000  0.589
Ti  0.911  0.500  0.411
S  0.000  0.500  0.248
S  0.000  0.500  0.752
S  0.174  0.000  0.675
S  0.326  0.500  0.325
S  0.500  0.000  0.248
S  0.500  0.000  0.752
S  0.674  0.500  0.675
S  0.826  0.000  0.325

Computed properties:
The energy relative to the elements, uncorrected is -1.30 eV/atom.


(4)
Crystalline Pr5Nd2ErTm at its relaxed geometry, computed with GGA-PBE.

Cell lengths 10.541, 10.541, 10.541 Å; angles 131.93, 131.93, 70.34 degrees
Atoms (fractional coordinates):
Pr  0.000  0.000  0.000
Pr  0.077  0.577  0.943
Pr  0.134  0.077  0.500
Pr  0.366  0.866  0.943
Pr  0.423  0.366  0.500
Pr  0.500  0.500  0.000
Pr  0.577  0.634  0.500
Pr  0.634  0.134  0.057
Pr  0.866  0.923  0.500
Pr  0.923  0.423  0.057
Nd  0.124  0.376  0.500
Nd  0.376  0.876  0.253
Nd  0.624  0.124  0.747
Nd  0.876  0.624  0.500
Er  0.250  0.250  0.000
Er  0.750  0.750  0.000
Tm  0.250  0.750  0.500
Tm  0.750  0.250  0.500

Computed properties:
The formation enthalpy at 0 K comes out at 238 kJ/mol of formula units.


(5)
Crystalline PrZn3Rh at its relaxed geometry, computed with GGA-PBE.

Cell lengths 6.681, 6.681, 6.681 Å; angles 124.97, 90.47, 114.74 degrees
Atoms (fractional coordinates):
Pr  0.333  0.083  0.250
Pr  0.667  0.917  0.750
Zn  0.177  0.427  0.750
Zn  0.204  0.000  0.704
Zn  0.204  0.500  0.204
Zn  0.796  0.000  0.296
Zn  0.796  0.500  0.796
Zn  0.823  0.573  0.250
Rh  0.000  0.500  0.500
Rh  0.500  0.500  0.000

Computed properties:
The formation enthalpy at 0 K comes out at -140 kJ/mol of formula units. The energy above the most stable polymorph in this dataset comes out at 0.0 meV/atom.


(6)
Crystalline SrH3Pt at its relaxed geometry, computed with GGA-PBE.

Cell lengths 8.489, 8.489, 8.489 Å; angles 152.60, 152.60, 39.13 degrees
Atoms (fractional coordinates):
Sr  0.000  0.000  0.000
Sr  0.750  0.250  0.500
H  0.348  0.348  0.000
H  0.505  0.102  0.403
H  0.652  0.652  0.000
H  0.699  0.102  0.597
H  0.898  0.301  0.403
H  0.898  0.495  0.597
Pt  0.153  0.653  0.500
Pt  0.347  0.847  0.500

Computed properties:
For the total DFT energy (no corrections), the calculation gives -3.701 eV per atom.


Question: What is the formula in the fifth record?
Answer: PrZn3Rh